1:
PBE Ag3SeO, optimized geometry; total magnetization = 1.0 μB per cell
1.0
4.996 0.000 0.000
0.000 4.996 0.000
0.000 0.000 4.996
Ag Se O
3 1 1
direct
0.000 0.500 0.000
0.000 0.000 0.500
0.500 0.000 0.000
0.000 0.000 0.000
0.500 0.500 0.500

=====

2:
PBE Ag3SeO, optimized geometry; total magnetization = 0.0 μB per cell
1.0
-1.228 4.801 1.710
-4.196 -1.300 0.636
4.712 -4.170 7.056
Se O Ag
2 2 6
direct
0.879 0.129 0.758
0.121 0.871 0.242
0.344 0.594 0.688
0.656 0.406 0.312
0.046 0.296 0.092
0.782 0.532 0.564
0.218 0.468 0.436
0.954 0.704 0.908
0.647 0.897 0.293
0.353 0.103 0.707

=====

Least stable structure among those shown: 1.